--- 1 ---
This record from the Alexandria database describes an optimized crystal structure of Sm8Dy2Y. The functional is PBE.

a b c (Å): 9.292 10.109 10.109
angles (deg): 43.15 40.22 40.22
Atoms (fractional coordinates):
Sm (0.139, 0.351, 0.787)
Sm (0.861, 0.213, 0.649)
Sm (0.274, 0.675, 0.675)
Sm (0.726, 0.325, 0.325)
Sm (0.139, 0.787, 0.351)
Sm (0.861, 0.649, 0.213)
Sm (0.625, 0.687, 0.687)
Sm (0.375, 0.313, 0.313)
Dy (0.659, 0.858, 0.858)
Dy (0.341, 0.142, 0.142)
Y (0.000, 0.000, 0.000)

Symmetry ... C2/m
Total magnetization ... 0.00 μB per formula unit

---

--- 2 ---
This record from the Alexandria database describes an optimized crystal structure of Sm8Dy2Y. The functional is PBE.

a b c (Å): 6.692 10.330 10.330
angles (deg): 38.17 59.57 59.57
Atoms (fractional coordinates):
Sm (0.230, 0.351, 0.826)
Sm (0.770, 0.174, 0.649)
Sm (0.173, 0.756, 0.756)
Sm (0.827, 0.244, 0.244)
Sm (0.230, 0.826, 0.351)
Sm (0.770, 0.649, 0.174)
Sm (0.727, 0.592, 0.592)
Sm (0.273, 0.408, 0.408)
Dy (0.595, 0.800, 0.800)
Dy (0.405, 0.200, 0.200)
Y (0.000, 0.000, 0.000)

Symmetry ... C2/m
Total magnetization ... 0.00 μB per formula unit

---

Stability, lowest: 2

---

--- 1 ---
This record from the Alexandria database describes an optimized crystal structure of Sm4Dy3Y. The functional is PBE.

a b c (Å): 6.322 7.318 11.473
angles (deg): 90.00 90.00 90.00
Atoms (fractional coordinates):
Sm (0.147, 0.874, 0.000)
Sm (0.648, 0.127, 0.000)
Sm (0.980, 0.127, 0.251)
Sm (0.480, 0.873, 0.249)
Sm (0.148, 0.873, 0.500)
Sm (0.647, 0.126, 0.500)
Sm (0.480, 0.873, 0.751)
Sm (0.980, 0.127, 0.749)
Dy (0.648, 0.623, 0.000)
Dy (0.981, 0.623, 0.250)
Dy (0.481, 0.377, 0.250)
Dy (0.148, 0.377, 0.500)
Dy (0.481, 0.377, 0.750)
Dy (0.981, 0.623, 0.750)
Y (0.149, 0.377, 0.000)
Y (0.649, 0.623, 0.500)

Symmetry ... Pmn2_1
Total magnetization ... 0.00 μB per formula unit

---

--- 2 ---
This record from the Alexandria database describes an optimized crystal structure of Sm4Dy3Y. The functional is PBE.

a b c (Å): 3.503 6.770 11.894
angles (deg): 106.43 98.47 90.00
Atoms (fractional coordinates):
Y (0.500, 0.000, 0.000)
Sm (0.740, 0.237, 0.480)
Sm (0.260, 0.763, 0.520)
Sm (0.124, 0.370, 0.249)
Sm (0.876, 0.630, 0.751)
Dy (0.000, 0.500, 0.000)
Dy (0.123, 0.881, 0.247)
Dy (0.877, 0.119, 0.753)

Symmetry ... C2/m
Total magnetization ... 0.00 μB per formula unit

---

Stability, lowest: 2

---

--- 1 ---
This record from the Alexandria database describes an optimized crystal structure of Sm2Dy3Y6. The functional is PBE.

a b c (Å): 10.844 6.004 11.302
angles (deg): 90.00 90.00 90.00
Atoms (fractional coordinates):
Sm (0.562, 0.238, 0.000)
Sm (0.062, 0.262, 0.500)
Sm (0.938, 0.738, 0.500)
Sm (0.438, 0.762, 0.000)
Dy (0.500, 0.500, 0.500)
Dy (0.000, 0.500, 0.793)
Dy (0.000, 0.500, 0.207)
Dy (0.500, 0.000, 0.293)
Dy (0.500, 0.000, 0.707)
Dy (0.000, 0.000, 0.000)
Y (0.223, 0.381, 0.000)
Y (0.317, 0.474, 0.279)
Y (0.317, 0.474, 0.721)
Y (0.817, 0.026, 0.779)
Y (0.817, 0.026, 0.221)
Y (0.723, 0.119, 0.500)
Y (0.277, 0.881, 0.500)
Y (0.183, 0.974, 0.221)
Y (0.183, 0.974, 0.779)
Y (0.683, 0.526, 0.721)
Y (0.683, 0.526, 0.279)
Y (0.777, 0.619, 0.000)

Symmetry ... Pnnm
Total magnetization ... 0.00 μB per formula unit

---

--- 2 ---
This record from the Alexandria database describes an optimized crystal structure of Sm2Dy3Y6. The functional is PBE.

a b c (Å): 4.733 4.733 17.077
angles (deg): 97.97 97.97 90.00
Atoms (fractional coordinates):
Sm (0.455, 0.455, 0.910)
Sm (0.545, 0.545, 0.090)
Dy (0.000, 0.000, 0.000)
Dy (0.801, 0.801, 0.602)
Dy (0.199, 0.199, 0.398)
Y (0.121, 0.621, 0.243)
Y (0.621, 0.121, 0.243)
Y (0.879, 0.379, 0.757)
Y (0.379, 0.879, 0.757)
Y (0.699, 0.699, 0.397)
Y (0.301, 0.301, 0.603)

Symmetry ... I4/mmm
Total magnetization ... 0.00 μB per formula unit

---

Stability, lowest: 2

---

--- 1 ---
This record from the Alexandria database describes an optimized crystal structure of SmDy3Y4. The functional is PBE.

a b c (Å): 5.646 3.558 13.492
angles (deg): 89.96 102.08 90.00
Atoms (fractional coordinates):
Y (0.604, 0.500, 0.208)
Y (0.396, 0.500, 0.792)
Y (0.277, 0.499, 0.554)
Y (0.723, 0.501, 0.446)
Sm (0.500, 0.000, 0.000)
Dy (0.000, 0.500, 0.000)
Dy (0.844, 0.000, 0.688)
Dy (0.156, 0.000, 0.312)

Symmetry ... Cmmm
Total magnetization ... 0.00 μB per formula unit

---

--- 2 ---
This record from the Alexandria database describes an optimized crystal structure of SmDy3Y4. The functional is PBE.

a b c (Å): 6.312 7.302 11.317
angles (deg): 90.00 90.00 90.00
Atoms (fractional coordinates):
Sm (0.150, 0.376, 0.000)
Sm (0.650, 0.624, 0.500)
Dy (0.649, 0.624, 0.000)
Dy (0.980, 0.624, 0.250)
Dy (0.480, 0.376, 0.250)
Dy (0.149, 0.376, 0.500)
Dy (0.480, 0.376, 0.750)
Dy (0.980, 0.624, 0.750)
Y (0.146, 0.874, 0.000)
Y (0.647, 0.126, 0.000)
Y (0.982, 0.126, 0.251)
Y (0.482, 0.874, 0.249)
Y (0.147, 0.874, 0.500)
Y (0.646, 0.126, 0.500)
Y (0.482, 0.874, 0.751)
Y (0.982, 0.126, 0.749)

Symmetry ... Pmn2_1
Total magnetization ... 0.00 μB per formula unit

---

Stability, lowest: 1

---

--- 1 ---
This record from the Alexandria database describes an optimized crystal structure of Sm6DyY4. The functional is PBE.

a b c (Å): 6.676 6.676 9.764
angles (deg): 109.99 109.99 90.00
Atoms (fractional coordinates):
Sm (0.862, 0.487, 0.349)
Sm (0.487, 0.862, 0.349)
Sm (0.513, 0.513, 0.651)
Sm (0.000, 0.500, 0.000)
Sm (0.138, 0.138, 0.651)
Sm (0.500, 0.000, 0.000)
Dy (0.500, 0.500, 0.000)
Y (0.051, 0.694, 0.745)
Y (0.949, 0.949, 0.255)
Y (0.694, 0.051, 0.745)
Y (0.306, 0.306, 0.255)

Symmetry ... I-42m
Total magnetization ... 0.00 μB per formula unit

---

--- 2 ---
This record from the Alexandria database describes an optimized crystal structure of Sm6DyY4. The functional is PBE.

a b c (Å): 5.827 5.664 25.822
angles (deg): 90.00 90.00 120.96
Atoms (fractional coordinates):
Sm (0.500, 0.000, 0.000)
Sm (0.500, 0.000, 0.500)
Sm (0.128, 0.256, 0.317)
Sm (0.872, 0.744, 0.683)
Sm (0.872, 0.744, 0.817)
Sm (0.128, 0.256, 0.183)
Sm (0.803, 0.605, 0.397)
Sm (0.197, 0.395, 0.603)
Sm (0.197, 0.395, 0.897)
Sm (0.803, 0.605, 0.103)
Sm (0.456, 0.911, 0.250)
Sm (0.544, 0.089, 0.750)
Dy (0.793, 0.585, 0.250)
Dy (0.207, 0.415, 0.750)
Y (0.849, 0.697, 0.544)
Y (0.462, 0.923, 0.123)
Y (0.151, 0.303, 0.456)
Y (0.538, 0.077, 0.877)
Y (0.849, 0.697, 0.956)
Y (0.151, 0.303, 0.044)
Y (0.538, 0.077, 0.623)
Y (0.462, 0.923, 0.377)

Symmetry ... Cmcm
Total magnetization ... 0.00 μB per formula unit

---

Stability, lowest: 1

---

--- 1 ---
This record from the Alexandria database describes an optimized crystal structure of Sm12Dy7Y. The functional is PBE.

a b c (Å): 8.798 8.798 8.798
angles (deg): 94.47 94.47 94.47
Atoms (fractional coordinates):
Sm (0.817, 0.250, 0.685)
Sm (0.750, 0.315, 0.183)
Sm (0.478, 0.147, 0.413)
Sm (0.853, 0.587, 0.522)
Sm (0.315, 0.183, 0.750)
Sm (0.587, 0.522, 0.853)
Sm (0.413, 0.478, 0.147)
Sm (0.685, 0.817, 0.250)
Sm (0.147, 0.413, 0.478)
Sm (0.522, 0.853, 0.587)
Sm (0.250, 0.685, 0.817)
Sm (0.183, 0.750, 0.315)
Dy (0.916, 0.649, 0.980)
Dy (0.351, 0.020, 0.084)
Dy (0.020, 0.084, 0.351)
Dy (0.500, 0.500, 0.500)
Dy (0.980, 0.916, 0.649)
Dy (0.649, 0.980, 0.916)
Dy (0.084, 0.351, 0.020)
Y (0.000, 0.000, 0.000)

Symmetry ... R-3
Total magnetization ... 0.00 μB per formula unit

---

--- 2 ---
This record from the Alexandria database describes an optimized crystal structure of Sm12Dy7Y. The functional is PBE.

a b c (Å): 6.179 11.496 11.496
angles (deg): 116.86 100.32 100.32
Atoms (fractional coordinates):
Sm (0.087, 0.587, 0.174)
Sm (0.086, 0.174, 0.587)
Sm (0.589, 0.647, 0.001)
Sm (0.411, 0.001, 0.354)
Sm (0.499, 0.413, 0.587)
Sm (0.057, 0.646, 0.647)
Sm (0.943, 0.354, 0.353)
Sm (0.501, 0.587, 0.413)
Sm (0.589, 0.999, 0.646)
Sm (0.411, 0.353, 0.999)
Sm (0.914, 0.826, 0.413)
Sm (0.913, 0.413, 0.826)
Dy (0.128, 0.755, 0.001)
Dy (0.873, 0.001, 0.246)
Dy (0.627, 0.754, 0.755)
Dy (0.500, 0.000, 0.000)
Dy (0.373, 0.246, 0.245)
Dy (0.127, 0.999, 0.754)
Dy (0.872, 0.245, 0.999)
Y (0.000, 0.000, 0.000)

Symmetry ... R-3
Total magnetization ... 0.00 μB per formula unit

---

Stability, lowest: 1

---

--- 1 ---
This record from the Alexandria database describes an optimized crystal structure of Sm7DyY3. The functional is PBE.

a b c (Å): 5.630 10.023 9.061
angles (deg): 106.29 128.43 89.99
Atoms (fractional coordinates):
Sm (0.914, 0.829, 0.914)
Sm (0.853, 0.706, 0.353)
Sm (0.681, 0.359, 0.181)
Sm (0.319, 0.641, 0.819)
Sm (0.500, 0.000, 0.500)
Sm (0.147, 0.294, 0.647)
Sm (0.086, 0.171, 0.086)
Dy (0.500, 0.500, 0.500)
Y (0.279, 0.000, 0.779)
Y (0.000, 0.500, 0.000)
Y (0.721, 0.000, 0.221)

Symmetry ... P2/m
Total magnetization ... 0.00 μB per formula unit

---

--- 2 ---
This record from the Alexandria database describes an optimized crystal structure of Sm7DyY3. The functional is PBE.

a b c (Å): 8.701 7.153 7.153
angles (deg): 120.00 90.00 90.00
Atoms (fractional coordinates):
Sm (0.114, 0.168, 0.832)
Sm (0.114, 0.168, 0.335)
Sm (0.124, 0.667, 0.333)
Sm (0.453, 0.832, 0.168)
Sm (0.453, 0.335, 0.168)
Sm (0.453, 0.832, 0.665)
Sm (0.114, 0.665, 0.832)
Dy (0.443, 0.333, 0.667)
Y (0.782, 0.500, 0.500)
Y (0.782, 0.500, 0.999)
Y (0.782, 0.001, 0.500)

Symmetry ... P3m1
Total magnetization ... 0.00 μB per formula unit

---

Stability, lowest: 2

---

--- 1 ---
This record from the Alexandria database describes an optimized crystal structure of Sm5Dy4Y2. The functional is PBE.

a b c (Å): 6.930 6.930 9.648
angles (deg): 70.07 70.07 60.70
Atoms (fractional coordinates):
Sm (0.627, 0.157, 0.821)
Sm (0.373, 0.843, 0.179)
Sm (0.000, 0.000, 0.500)
Sm (0.157, 0.627, 0.821)
Sm (0.843, 0.373, 0.179)
Dy (0.351, 0.351, 0.497)
Dy (0.649, 0.649, 0.503)
Dy (0.640, 0.640, 0.852)
Dy (0.360, 0.360, 0.148)
Y (0.128, 0.128, 0.844)
Y (0.872, 0.872, 0.156)

Symmetry ... C2/m
Total magnetization ... 0.00 μB per formula unit

---

--- 2 ---
This record from the Alexandria database describes an optimized crystal structure of Sm5Dy4Y2. The functional is PBE.

a b c (Å): 6.709 8.995 10.249
angles (deg): 39.81 70.90 68.11
Atoms (fractional coordinates):
Sm (0.177, 0.273, 0.904)
Sm (0.823, 0.727, 0.096)
Sm (0.000, 0.500, 0.500)
Sm (0.647, 0.273, 0.904)
Sm (0.353, 0.727, 0.096)
Dy (0.410, 0.774, 0.407)
Dy (0.590, 0.226, 0.593)
Dy (0.755, 0.670, 0.820)
Dy (0.245, 0.330, 0.180)
Y (0.202, 0.904, 0.692)
Y (0.798, 0.096, 0.308)

Symmetry ... C2/m
Total magnetization ... 0.00 μB per formula unit

---

Stability, lowest: 1

---

--- 1 ---
This record from the Alexandria database describes an optimized crystal structure of Sm4DyY6. The functional is PBE.

a b c (Å): 5.765 5.643 25.905
angles (deg): 90.00 90.00 120.71
Atoms (fractional coordinates):
Sm (0.843, 0.686, 0.544)
Sm (0.471, 0.942, 0.122)
Sm (0.157, 0.314, 0.456)
Sm (0.529, 0.058, 0.878)
Sm (0.843, 0.686, 0.956)
Sm (0.157, 0.314, 0.044)
Sm (0.529, 0.058, 0.622)
Sm (0.471, 0.942, 0.378)
Dy (0.818, 0.635, 0.250)
Dy (0.182, 0.365, 0.750)
Y (0.500, 0.000, 0.000)
Y (0.500, 0.000, 0.500)
Y (0.146, 0.292, 0.318)
Y (0.854, 0.708, 0.682)
Y (0.854, 0.708, 0.818)
Y (0.146, 0.292, 0.182)
Y (0.811, 0.622, 0.395)
Y (0.189, 0.378, 0.605)
Y (0.189, 0.378, 0.895)
Y (0.811, 0.622, 0.105)
Y (0.484, 0.967, 0.250)
Y (0.516, 0.033, 0.750)

Symmetry ... Cmcm
Total magnetization ... 0.00 μB per formula unit

---

--- 2 ---
This record from the Alexandria database describes an optimized crystal structure of Sm4DyY6. The functional is PBE.

a b c (Å): 3.584 10.956 10.956
angles (deg): 120.00 90.00 90.00
Atoms (fractional coordinates):
Sm (0.500, 0.841, 0.681)
Sm (0.500, 0.319, 0.159)
Sm (0.500, 0.841, 0.159)
Sm (0.000, 0.333, 0.667)
Dy (0.000, 0.000, 0.000)
Y (0.000, 0.521, 0.042)
Y (0.500, 0.634, 0.817)
Y (0.000, 0.521, 0.479)
Y (0.000, 0.958, 0.479)
Y (0.500, 0.183, 0.817)
Y (0.500, 0.183, 0.366)

Symmetry ... P-6m2
Total magnetization ... 0.00 μB per formula unit

---

Stability, lowest: 2